No. 1
Entry from the Alexandria database: a relaxed structure of AgBiTeI2 (PBE).

Structure (POSCAR):
```
AgBiTeI2
1.0
5.529 0.000 0.000
0.000 5.529 0.000
0.000 0.000 5.632
Ag Bi Te I
1 1 1 2
Direct
0.000 0.000 0.000
0.500 0.500 0.500
0.000 0.000 0.500
0.000 0.500 0.000
0.500 0.000 0.000
```

ΔE_f (raw) in eV/f.u.: 1.53

---

No. 2
Entry from the Alexandria database: a relaxed structure of TiAg2BiI (PBE).

Structure (POSCAR):
```
TiAg2BiI
1.0
5.308 0.000 0.000
0.000 5.308 0.000
0.000 0.000 5.459
Ti Ag Bi I
1 2 1 1
Direct
0.000 0.000 0.000
0.000 0.500 0.000
0.500 0.000 0.000
0.000 0.000 0.500
0.500 0.500 0.500
```

ΔE_f (raw) in eV/f.u.: 3.71

---

No. 3
Entry from the Alexandria database: a relaxed structure of TlAgBiI5 (PBE).

Structure (POSCAR):
```
TlAgBiI5
1.0
4.948 -6.952 0.000
4.948 6.952 0.000
-4.306 0.000 10.507
Tl Ag Bi I
2 2 2 10
Direct
0.128 0.872 0.750
0.872 0.128 0.250
0.191 0.809 0.250
0.809 0.191 0.750
0.500 0.500 0.000
0.500 0.500 0.500
0.115 0.246 0.949
0.173 0.572 0.389
0.246 0.115 0.449
0.405 0.595 0.750
0.428 0.827 0.111
0.572 0.173 0.889
0.595 0.405 0.250
0.754 0.885 0.551
0.827 0.428 0.611
0.885 0.754 0.051
```

ΔE_f (raw) in eV/f.u.: -3.42